VASP calculation (PBEsol) on HgTeAsI2 after structural relaxation.

total magnetic moment = 0.2698 μB per atom
space-group type = P4/mmm, No. 123
final energy = -1.812 eV/atom

Unit cell a=5.615 b=5.615 c=5.744 alpha=90.00 beta=90.00 gamma=90.00
Positions (direct):
Hg 0.000 0.000 0.000
Te 0.000 0.000 0.500
As 0.500 0.500 0.500
I 0.000 0.500 0.000
I 0.500 0.000 0.000